## InBi2WF (GGA+U)

Data for a geometry-optimized InBi2WF structure.

Cell: 5.352 5.352 5.450 Å, 90.00 90.00 90.00°
Space group P4/mmm (No. 123)
Symmetry-distinct sites (fractional):
In: 0.000 0.000 0.000 x1
Bi: 0.000 0.500 0.500 x2
W: 0.000 0.000 0.500 x1
F: 0.500 0.500 0.000 x1

Results
As for the density: 7.823 Mg/m³. The total energy is -3.60 eV per atom.